<w>
{"formula": "BeNiSnHg", "functional": "GGA-PBE", "state": "optimized geometry", "lattice_angstrom": [[6.481, 0.000, 0.000], [0.000, 6.481, 0.000], [0.000, 0.000, 6.481]], "species": ["Be", "Be", "Be", "Be", "Ni", "Ni", "Ni", "Ni", "Sn", "Sn", "Sn", "Sn", "Hg", "Hg", "Hg", "Hg"], "frac_coords": [[0.000, 0.000, 0.000], [0.000, 0.500, 0.500], [0.500, 0.000, 0.500], [0.500, 0.500, 0.000], [0.250, 0.250, 0.750], [0.250, 0.750, 0.250], [0.750, 0.250, 0.250], [0.750, 0.750, 0.750], [0.000, 0.000, 0.500], [0.000, 0.500, 0.000], [0.500, 0.000, 0.000], [0.500, 0.500, 0.500], [0.250, 0.250, 0.250], [0.250, 0.750, 0.750], [0.750, 0.250, 0.750], [0.750, 0.750, 0.250]], "sg": "F-43m (216)", "m_tot_mub_per_cell": 0.003}


<x>
{"formula": "BeNiSnHg", "functional": "GGA-PBE", "state": "optimized geometry", "lattice_angstrom": [[6.403, 0.000, 0.000], [0.000, 6.403, 0.000], [0.000, 0.000, 6.403]], "species": ["Be", "Be", "Be", "Be", "Ni", "Ni", "Ni", "Ni", "Sn", "Sn", "Sn", "Sn", "Hg", "Hg", "Hg", "Hg"], "frac_coords": [[0.000, 0.000, 0.000], [0.000, 0.500, 0.500], [0.500, 0.000, 0.500], [0.500, 0.500, 0.000], [0.000, 0.000, 0.500], [0.000, 0.500, 0.000], [0.500, 0.000, 0.000], [0.500, 0.500, 0.500], [0.250, 0.250, 0.750], [0.250, 0.750, 0.250], [0.750, 0.250, 0.250], [0.750, 0.750, 0.750], [0.250, 0.250, 0.250], [0.250, 0.750, 0.750], [0.750, 0.250, 0.750], [0.750, 0.750, 0.250]], "sg": "F-43m (216)", "m_tot_mub_per_cell": 0.011}


Most stable: <x>. Least stable: <w>.


<w>
{"formula": "Be2Hg2O5", "functional": "GGA-PBE", "state": "optimized geometry", "lattice_angstrom": [[3.154, 0.000, 0.000], [0.000, 3.154, 0.000], [0.000, 0.000, 11.945]], "species": ["Be", "Be", "Hg", "Hg", "O", "O", "O", "O", "O"], "frac_coords": [[0.000, 0.000, 0.000], [0.000, 0.000, 0.500], [0.500, 0.500, 0.222], [0.500, 0.500, 0.778], [0.000, 0.500, 0.441], [0.000, 0.500, 0.559], [0.500, 0.000, 0.441], [0.500, 0.000, 0.559], [0.500, 0.500, 0.000]], "sg": "P4/mmm (123)"}


<x>
{"formula": "Be2Hg2O5", "functional": "GGA-PBE", "state": "optimized geometry", "lattice_angstrom": [[3.468, 0.000, 0.000], [0.000, 3.468, 0.000], [0.000, 0.000, 7.504]], "species": ["Be", "Be", "Hg", "Hg", "O", "O", "O", "O", "O"], "frac_coords": [[0.000, 0.000, 0.224], [0.000, 0.000, 0.776], [0.500, 0.500, 0.000], [0.500, 0.500, 0.500], [0.000, 0.000, 0.000], [0.000, 0.500, 0.286], [0.000, 0.500, 0.714], [0.500, 0.000, 0.286], [0.500, 0.000, 0.714]], "sg": "P4/mmm (123)"}


Most stable: <x>. Least stable: <w>.